# 1
# Dy6Ho3Tm2Mg

A relaxed structure of Dy6Ho3Tm2Mg (PBE, the Alexandria database).

Output
Formation energy in eV per atom: 0.03
Calculated volume in Å³/cell: 365.60

Cell and atoms, written as extended XYZ:
```
12
Lattice="6.089 -0.002 -0.003 -3.045 5.273 -0.003 -1.019 -1.765 11.390" Properties=species:S:1:pos:R:3 pbc="T T T"
Ho -2.037 3.514 5.692
Ho 1.012 1.753 5.692
Ho 4.062 -0.008 5.692
Dy 2.026 -0.007 2.818
Dy 0.001 0.003 8.557
Dy 3.044 1.755 8.567
Dy -0.001 3.513 8.567
Dy -1.019 1.752 2.818
Dy 2.024 3.504 2.828
Tm 3.040 1.759 -0.003
Tm 0.004 3.512 -0.003
Mg 0.000 0.000 0.000
```



# 2
# Dy4Ho2TmMg

A relaxed structure of Dy4Ho2TmMg (PBE, the Alexandria database).

Output
Formation energy in eV per atom: 0.02
Calculated volume in Å³/cell: 241.52

Cell and atoms, written as extended XYZ:
```
8
Lattice="-0.663 -3.271 -3.644 1.899 -3.569 2.858 -7.121 -5.599 6.321" Properties=species:S:1:pos:R:3 pbc="T T T"
Dy -5.208 -6.732 3.641
Dy -1.295 -2.288 2.289
Dy -4.590 -10.151 3.247
Dy -0.677 -5.706 1.895
Ho 0.000 0.000 0.000
Ho -3.892 -4.435 1.339
Tm -2.611 -4.584 4.590
Mg -6.503 -9.018 5.929
```



# 3
# Dy2Ho4TmMg

A relaxed structure of Dy2Ho4TmMg (PBE, the Alexandria database).

Output
Formation energy in eV per atom: 0.02
Calculated volume in Å³/cell: 240.87

Cell and atoms, written as extended XYZ:
```
8
Lattice="-4.223 0.470 -2.497 -0.006 -4.856 -0.905 -5.106 -6.410 7.429" Properties=species:S:1:pos:R:3 pbc="T T T"
Tm -2.556 -5.633 3.262
Dy -4.664 -2.970 2.466
Dy -5.106 -6.410 7.429
Ho -3.389 -5.004 -0.075
Ho -5.946 -5.791 4.102
Ho -3.838 -8.453 4.899
Ho -5.497 -2.343 -0.872
Mg -7.220 -8.603 5.728
```



# 4
# Dy2Ho6Tm3Mg

A relaxed structure of Dy2Ho6Tm3Mg (PBE, the Alexandria database).

Output
Formation energy in eV per atom: 0.03
Calculated volume in Å³/cell: 362.41

Cell and atoms, written as extended XYZ:
```
12
Lattice="-3.467 -3.253 3.758 5.677 -1.765 -1.180 3.011 7.861 7.945" Properties=species:S:1:pos:R:3 pbc="T T T"
Tm 2.610 1.421 5.262
Tm 5.665 1.919 3.612
Tm -0.444 0.924 6.912
Dy 2.626 -2.261 0.468
Dy -0.416 -2.757 2.111
Ho -0.217 0.465 3.454
Ho 2.413 -1.790 3.929
Ho 2.828 0.961 1.810
Ho 5.438 2.378 7.069
Ho 2.393 1.882 8.714
Ho 2.807 4.633 6.594
Mg 0.000 0.000 0.000
```



# 5
# Dy2Y4HoMg

A relaxed structure of Dy2Y4HoMg (PBE, the Alexandria database).

Output
Formation energy in eV per atom: 0.02
Calculated volume in Å³/cell: 247.24

Cell and atoms, written as extended XYZ:
```
8
Lattice="4.975 0.000 0.000 0.000 4.894 0.926 0.000 3.043 10.731" Properties=species:S:1:pos:R:3 pbc="T T T"
Ho 0.000 3.968 5.829
Y 0.000 5.950 8.765
Y 2.487 3.504 8.304
Y 4.975 1.987 2.893
Y 2.487 4.433 3.353
Dy 0.000 3.043 10.731
Dy 2.487 6.415 6.292
Mg 2.487 5.490 11.194
```



# 6
# Dy6YHo2Mg

A relaxed structure of Dy6YHo2Mg (PBE, the Alexandria database).

Output
Formation energy in eV per atom: 0.12
Calculated volume in Å³/cell: 624.45

Cell and atoms, written as extended XYZ:
```
20
Lattice="-5.311 -3.903 0.323 5.563 -8.722 3.405 -5.683 6.820 6.310" Properties=species:S:1:pos:R:3 pbc="T T T"
Dy -3.797 -1.893 6.403
Dy -4.208 4.524 5.300
Dy 1.137 -6.116 5.958
Dy -6.515 2.606 6.630
Dy -6.568 0.311 4.081
Dy 1.084 -8.411 3.409
Dy -1.634 -3.912 3.635
Dy -6.928 -0.592 7.517
Dy -6.193 -3.232 4.289
Dy -1.223 -10.329 4.739
Dy 1.497 -5.214 2.522
Dy 0.763 -2.573 5.750
Y -9.566 3.754 6.526
Y 4.135 -9.559 3.512
Ho -1.816 -4.680 7.064
Ho -4.370 -5.703 2.645
Ho -1.061 -0.103 7.393
Ho -3.615 -1.125 2.974
Mg -1.742 -7.059 4.506
Mg -3.689 1.254 5.533
```



# 7
# Dy2YHo2Mg5

A relaxed structure of Dy2YHo2Mg5 (PBE, the Alexandria database).

Output
Formation energy in eV per atom: 0.07
Calculated volume in Å³/cell: 562.88

Cell and atoms, written as extended XYZ:
```
20
Lattice="-0.459 -5.018 -0.421 10.296 -1.112 2.017 -2.095 -0.675 10.318" Properties=species:S:1:pos:R:3 pbc="T T T"
Ho 8.270 -1.236 5.705
Ho 4.531 -1.283 10.337
Ho -0.069 -0.550 6.631
Ho 3.670 -0.504 1.999
Y 4.101 -0.893 6.168
Y 0.000 0.000 0.000
Dy 1.599 -0.914 9.139
Dy 1.150 -0.415 3.687
Dy 6.603 -0.873 3.197
Dy 7.051 -1.371 8.649
Mg 4.918 -3.065 0.798
Mg 4.231 -3.618 8.135
Mg 3.511 -3.187 3.780
Mg 1.692 -3.234 6.334
Mg -1.277 -2.846 4.948
Mg 6.106 -4.027 10.956
Mg 8.884 -3.670 3.682
Mg 6.050 -3.570 5.581
Mg 1.636 -2.778 0.958
Mg -1.142 -3.135 8.232
```



# 8
# Dy4Y2HoMg

A relaxed structure of Dy4Y2HoMg (PBE, the Alexandria database).

Output
Formation energy in eV per atom: 0.02
Calculated volume in Å³/cell: 245.38

Cell and atoms, written as extended XYZ:
```
8
Lattice="4.948 0.000 0.000 0.000 4.851 1.021 0.000 2.793 10.812" Properties=species:S:1:pos:R:3 pbc="T T T"
Dy 0.000 5.731 8.890
Dy 2.474 3.306 8.382
Dy 2.474 4.338 3.450
Dy 4.948 1.913 2.943
Ho 0.000 3.822 5.916
Mg 2.474 2.425 0.510
Y 2.474 1.397 5.406
Y 0.000 2.793 10.812
```